Entry from the Alexandria database: a relaxed Co2CuNi6 crystal (PBE-GGA).

Calculated values
theoretical density = 8677 kg/m³
Fermi-level density of states = 21.93 states/eV per cell
formation enthalpy at 0 K = 3.2 kcal/mol of atoms
energy above the lowest structure with this stoichiometry = 0.37 eV per formula unit
VASP energy = -103.5 eV per cell

a b c (Å): 6.7627 6.7627 4.6480
angles (deg): 96.40 96.40 102.48
Fractional coordinates of all 18 atoms:
1 Co 0.1181 0.1417 0.3854
2 Co 0.1417 0.1181 0.8854
3 Co 0.8583 0.8819 0.1146
4 Co 0.8819 0.8583 0.6146
5 Cu 0.4191 0.5809 0.7500
6 Cu 0.5809 0.4191 0.2500
7 Ni 0.0679 0.4204 0.6969
8 Ni 0.1540 0.7613 0.9831
9 Ni 0.2332 0.4638 0.2107
10 Ni 0.2387 0.8460 0.5169
11 Ni 0.4204 0.0679 0.1969
12 Ni 0.4638 0.2332 0.7107
13 Ni 0.5362 0.7668 0.2893
14 Ni 0.5796 0.9321 0.8031
15 Ni 0.7613 0.1540 0.4831
16 Ni 0.7668 0.5362 0.7893
17 Ni 0.8460 0.2387 0.0169
18 Ni 0.9321 0.5796 0.3031